First-principles (GGA-PBE) data for RbZnOF2 after structural relaxation, as listed in Alexandria via LeMat-Bulk.

Cell lengths 4.864, 4.864, 4.480 Å; angles 90.00, 90.00, 90.00 degrees
Atoms (fractional coordinates):
Rb: 0.000 0.000 0.000
Zn: 0.500 0.500 0.500
O: 0.000 0.000 0.500
F: 0.000 0.500 0.000
F: 0.500 0.000 0.000

Results
Offset from the most stable computed form   730 kJ/mol of formula units
Energy relative to the elements, uncorrected   -0.29 eV/atom
Density   3.209 Mg/m³



First-principles (GGA-PBE) data for Cd2TcHg after structural relaxation, as listed in Alexandria via LeMat-Bulk.

Cell lengths 5.202, 5.202, 5.385 Å; angles 99.39, 99.39, 32.58 degrees
Atoms (fractional coordinates):
Cd: 0.000 0.000 0.000
Cd: 0.242 0.242 0.736
Tc: 0.743 0.743 0.230
Hg: 0.485 0.485 0.472

Results
Calculated formation energy   0.43 eV/atom
Density   11.237 Mg/m³



First-principles (GGA-PBE) data for BaMnW2 after structural relaxation, as listed in Alexandria via LeMat-Bulk.

Cell lengths 3.920, 3.920, 5.348 Å; angles 90.00, 90.00, 90.00 degrees
Atoms (fractional coordinates):
Ba: 0.000 0.000 0.000
Mn: 0.500 0.500 0.000
W: 0.000 0.500 0.500
W: 0.500 0.000 0.500

Results
Calculated formation energy   1.60 eV/atom
Offset from the most stable computed form   332 kJ/mol of formula units
Density   11.314 Mg/m³



First-principles (GGA-PBE) data for NdNpBiO6 after structural relaxation, as listed in Alexandria via LeMat-Bulk.

Cell lengths 5.952, 5.952, 9.405 Å; angles 90.00, 90.00, 120.00 degrees
Atoms (fractional coordinates):
Nd: 0.333 0.667 0.250
Nd: 0.667 0.333 0.750
Np: 0.333 0.667 0.750
Np: 0.667 0.333 0.250
Bi: 0.000 0.000 0.000
Bi: 0.000 0.000 0.500
O: 0.038 0.367 0.633
O: 0.038 0.671 0.867
O: 0.329 0.367 0.867
O: 0.329 0.962 0.633
O: 0.367 0.038 0.133
O: 0.367 0.329 0.367
O: 0.633 0.671 0.633
O: 0.633 0.962 0.867
O: 0.671 0.038 0.367
O: 0.671 0.633 0.133
O: 0.962 0.329 0.133
O: 0.962 0.633 0.367

Results
Energy relative to the elements, uncorrected   -2.49 eV/atom
Density   7.899 Mg/m³



First-principles (GGA-PBE) data for B3SbSe after structural relaxation, as listed in Alexandria via LeMat-Bulk.

Cell lengths 4.520, 4.520, 4.520 Å; angles 90.00, 90.00, 90.00 degrees
Atoms (fractional coordinates):
B: 0.000 0.000 0.500
B: 0.000 0.500 0.000
B: 0.500 0.000 0.000
Sb: 0.000 0.000 0.000
Se: 0.500 0.500 0.500

Results
Offset from the most stable computed form   114 kJ/mol of formula units
Energy relative to the elements, uncorrected   2.03 eV/atom
Density   4.191 Mg/m³



First-principles (GGA-PBE) data for PrDy2Tl4 after structural relaxation, as listed in Alexandria via LeMat-Bulk.

Cell lengths 10.650, 10.650, 10.650 Å; angles 26.67, 26.67, 26.67 degrees
Atoms (fractional coordinates):
Pr: 0.000 0.000 0.000
Dy: 0.130 0.130 0.130
Dy: 0.870 0.870 0.870
Tl: 0.241 0.241 0.241
Tl: 0.386 0.386 0.386
Tl: 0.614 0.614 0.614
Tl: 0.759 0.759 0.759

Results
Calculated formation energy   -0.13 eV/atom
Offset from the most stable computed form   60 kJ/mol of formula units
Density   9.932 Mg/m³



First-principles (GGA-PBE) data for TcPRhS2 after structural relaxation, as listed in Alexandria via LeMat-Bulk.

Cell lengths 4.541, 4.541, 4.622 Å; angles 90.00, 90.00, 90.00 degrees
Atoms (fractional coordinates):
Tc: 0.000 0.000 0.000
P: 0.000 0.000 0.500
Rh: 0.500 0.500 0.500
S: 0.000 0.500 0.000
S: 0.500 0.000 0.000

Results
Offset from the most stable computed form   0 kJ/mol of formula units
Energy relative to the elements, uncorrected   0.78 eV/atom
Density   5.157 Mg/m³



First-principles (GGA-PBE) data for Zr3Al2Cu3 after structural relaxation, as listed in Alexandria via LeMat-Bulk.

Cell lengths 6.156, 6.156, 4.245 Å; angles 90.00, 90.00, 120.00 degrees
Atoms (fractional coordinates):
Zr: 0.000 0.361 0.000
Zr: 0.361 0.000 0.000
Zr: 0.639 0.639 0.000
Al: 0.333 0.667 0.500
Al: 0.667 0.333 0.500
Cu: 0.000 0.769 0.500
Cu: 0.231 0.231 0.500
Cu: 0.769 0.000 0.500

Results
Calculated formation energy   -0.26 eV/atom
Offset from the most stable computed form   10 kJ/mol of formula units
Density   6.177 Mg/m³



First-principles (GGA-PBE) data for Tl7HgSe4 after structural relaxation, as listed in Alexandria via LeMat-Bulk.

Cell lengths 7.191, 7.191, 13.480 Å; angles 106.80, 106.80, 35.45 degrees
Atoms (fractional coordinates):
Tl: 0.000 0.000 0.000
Tl: 0.146 0.146 0.275
Tl: 0.288 0.288 0.763
Tl: 0.442 0.442 0.261
Tl: 0.551 0.551 0.537
Tl: 0.709 0.709 0.024
Tl: 0.848 0.848 0.520
Hg: 0.981 0.981 0.764
Se: 0.195 0.195 0.510
Se: 0.365 0.365 0.023
Se: 0.625 0.625 0.773
Se: 0.799 0.799 0.287

Results
Energy relative to the elements, uncorrected   -0.32 eV/atom
Density   8.394 Mg/m³



First-principles (GGA-PBE) data for Tb2DySb after structural relaxation, as listed in Alexandria via LeMat-Bulk.

Cell lengths 4.087, 4.087, 6.913 Å; angles 90.00, 90.00, 90.00 degrees
Atoms (fractional coordinates):
Tb: 0.000 0.000 0.229
Tb: 0.000 0.000 0.771
Dy: 0.500 0.500 0.500
Sb: 0.500 0.500 0.000

Results
Offset from the most stable computed form   28 kJ/mol of formula units
Energy relative to the elements, uncorrected   -0.48 eV/atom
Density   8.657 Mg/m³



First-principles (GGA-PBE) data for LaDyErTh after structural relaxation, as listed in Alexandria via LeMat-Bulk.

Cell lengths 5.711, 5.711, 5.711 Å; angles 60.00, 60.00, 60.00 degrees
Atoms (fractional coordinates):
La: 0.000 0.000 0.000
Dy: 0.750 0.750 0.750
Er: 0.250 0.250 0.250
Th: 0.500 0.500 0.500

Results
Calculated formation energy   0.12 eV/atom
Offset from the most stable computed form   39 kJ/mol of formula units
Density   8.836 Mg/m³



First-principles (GGA-PBE) data for ScTi2NiS after structural relaxation, as listed in Alexandria via LeMat-Bulk.

Cell lengths 4.491, 4.491, 4.922 Å; angles 90.00, 90.00, 90.00 degrees
Atoms (fractional coordinates):
Sc: 0.000 0.000 0.000
Ti: 0.000 0.500 0.500
Ti: 0.500 0.000 0.500
Ni: 0.000 0.000 0.500
S: 0.500 0.500 0.000

Results
Energy relative to the elements, uncorrected   0.07 eV/atom
Density   3.872 Mg/m³